1.
Material: KAgPSe2
Method: DFT, PBE
State: relaxed

Properties
Volume: 161.7 Å³/cell
Formation energy from raw total energies: 563 meV/atom
Magnetic moment: 0.4959 μB/atom

Geometry as CIF:
```
data_KAgPSe2
_cell_length_a 5.084
_cell_length_b 5.084
_cell_length_c 6.256
_cell_angle_alpha 90.00
_cell_angle_beta 90.00
_cell_angle_gamma 90.00
_space_group_name_H-M_alt 'P 4/m m m'
_space_group_IT_number 123
_space_group_name_Hall '-P 4 2'
loop_
_atom_site_label
_atom_site_fract_x
_atom_site_fract_y
_atom_site_fract_z
_atom_site_occupancy
K1 0.000 0.000 0.000 1
Ag1 0.000 0.000 0.500 1
P1 0.500 0.500 0.000 1
Se1 0.000 0.500 0.500 1
```

=====

2.
Material: KAgP2Se8
Method: DFT, PBE
State: relaxed

Properties
Volume: 1055.8 Å³/cell
Formation energy from raw total energies: -113 meV/atom
Magnetic moment: 0.0000 μB/atom

Geometry as CIF:
```
data_KAgP2Se8
_cell_length_a 5.7463
_cell_length_b 5.7463
_cell_length_c 36.9223
_cell_angle_alpha 90.00
_cell_angle_beta 90.00
_cell_angle_gamma 120.00
_space_group_name_H-M_alt 'R -3'
_space_group_IT_number 148
_space_group_name_Hall '-R 3'
loop_
_atom_site_label
_atom_site_fract_x
_atom_site_fract_y
_atom_site_fract_z
_atom_site_occupancy
K1 0.0000 0.0000 0.0000 1
Ag1 0.0000 0.0000 0.5000 1
P1 0.0000 0.0000 0.2444 1
Se1 0.0000 0.0000 0.3026 1
Se2 0.0175 0.3030 0.1145 1
```

=====

3.
Material: KAgPSe4
Method: DFT, PBE
State: relaxed

Properties
Volume: 433.5 Å³/cell
Formation energy from raw total energies: -330 meV/atom
Magnetic moment: 0.0000 μB/atom

Geometry as CIF:
```
data_KAgPSe4
_cell_length_a 6.965
_cell_length_b 6.660
_cell_length_c 9.561
_cell_angle_alpha 90.00
_cell_angle_beta 102.20
_cell_angle_gamma 90.00
_space_group_name_H-M_alt 'P 1 21/m 1'
_space_group_IT_number 11
loop_
_space_group_symop_operation_xyz
'x,y,z'
'-x,-y,-z'
'-x,y+1/2,-z'
'x,-y+1/2,z'
loop_
_atom_site_label
_atom_site_fract_x
_atom_site_fract_y
_atom_site_fract_z
_atom_site_occupancy
K1 0.206 0.250 0.014 1
Ag1 0.166 0.250 0.564 1
P1 0.244 0.750 0.288 1
Se1 0.036 0.005 0.300 1
Se2 0.339 0.750 0.086 1
Se3 0.485 0.750 0.488 1
```

=====

4.
Material: KTcAgP
Method: DFT, PBE
State: relaxed

Properties
Energy of formation: -24 kJ/mol of atoms
Volume: 190.7 Å³/cell
Magnetic moment: 0.0000 μB/atom

Geometry as CIF:
```
data_KTcAgP
_cell_length_a 3.888
_cell_length_b 3.888
_cell_length_c 12.615
_cell_angle_alpha 90.00
_cell_angle_beta 90.00
_cell_angle_gamma 90.00
_space_group_name_H-M_alt 'P 4/n m m'
_space_group_IT_number 129
loop_
_space_group_symop_operation_xyz
'x,y,z'
'-x,-y,-z'
'-y+1/2,x,z'
'y+1/2,-x,-z'
'-x+1/2,-y+1/2,z'
'x+1/2,y+1/2,-z'
'y,-x+1/2,z'
'-y,x+1/2,-z'
'x+1/2,-y,-z'
'-x+1/2,y,z'
'-y,-x,-z'
'y,x,z'
'-x,y+1/2,-z'
'x,-y+1/2,z'
'y+1/2,x+1/2,-z'
'-y+1/2,-x+1/2,z'
loop_
_atom_site_label
_atom_site_fract_x
_atom_site_fract_y
_atom_site_fract_z
_atom_site_occupancy
K1 0.250 0.250 0.241 1
Tc1 0.250 0.750 0.500 1
Ag1 0.250 0.750 0.000 1
P1 0.250 0.250 0.613 1
```

=====

5.
Material: KZnAgP
Method: DFT, PBE
State: relaxed

Properties
Energy of formation: 15 kJ/mol of atoms
Volume: 183.3 Å³/cell
Magnetic moment: 0.0000 μB/atom

Geometry as CIF:
```
data_KZnAgP
_cell_length_a 3.153
_cell_length_b 5.192
_cell_length_c 11.199
_cell_angle_alpha 90.00
_cell_angle_beta 90.00
_cell_angle_gamma 90.00
_space_group_name_H-M_alt 'A m m 2'
_space_group_IT_number 38
loop_
_space_group_symop_operation_xyz
'x,y,z'
'-x,-y,z'
'-x,y,z'
'x,-y,z'
'x,y+1/2,z+1/2'
'-x,-y+1/2,z+1/2'
'-x,y+1/2,z+1/2'
'x,-y+1/2,z+1/2'
loop_
_atom_site_label
_atom_site_fract_x
_atom_site_fract_y
_atom_site_fract_z
_atom_site_occupancy
K1 0.000 0.000 0.000 1
Zn1 0.000 0.000 0.291 1
Ag1 0.500 0.000 0.688 1
P1 0.500 0.000 0.454 1
```

=====

6.
Material: KZnAgP2
Method: DFT, PBE
State: relaxed

Properties
Energy of formation: 60 kJ/mol of atoms
Volume: 121.9 Å³/cell
Magnetic moment: 0.0000 μB/atom

Geometry as CIF:
```
data_KZnAgP2
_cell_length_a 4.717
_cell_length_b 4.717
_cell_length_c 5.480
_cell_angle_alpha 90.00
_cell_angle_beta 90.00
_cell_angle_gamma 90.00
_space_group_name_H-M_alt 'P 4/m m m'
_space_group_IT_number 123
_space_group_name_Hall '-P 4 2'
loop_
_atom_site_label
_atom_site_fract_x
_atom_site_fract_y
_atom_site_fract_z
_atom_site_occupancy
K1 0.000 0.000 0.000 1
Zn1 0.000 0.000 0.500 1
Ag1 0.500 0.500 0.000 1
P1 0.000 0.500 0.500 1
```

=====

7.
Material: KPa2AgS8
Method: DFT, PBE
State: relaxed

Properties
Volume: 287.4 Å³/cell
Formation energy from raw total energies: -762 meV/atom
Magnetic moment: 0.0000 μB/atom

Geometry as CIF:
```
data_KPa2AgS8
_cell_length_a 6.1125
_cell_length_b 6.1125
_cell_length_c 8.8810
_cell_angle_alpha 90.00
_cell_angle_beta 90.00
_cell_angle_gamma 120.00
_space_group_name_H-M_alt 'P -3 m 1'
_space_group_IT_number 164
_space_group_name_Hall '-P 3 2"'
loop_
_atom_site_label
_atom_site_fract_x
_atom_site_fract_y
_atom_site_fract_z
_atom_site_occupancy
K1 0.0000 0.0000 0.0000 1
Pa1 0.3333 0.6667 0.3805 1
Ag1 0.0000 0.0000 0.5000 1
S1 0.1854 0.3708 0.6604 1
S2 0.3333 0.6667 0.1099 1
```

=====

8.
Material: K4Pa3AgS8
Method: DFT, PBE
State: relaxed

Properties
Volume: 1267.8 Å³/cell
Formation energy from raw total energies: -1359 meV/atom
Magnetic moment: 0.2507 μB/atom

Geometry as CIF:
```
data_K4Pa3AgS8
_cell_length_a 8.1085
_cell_length_b 8.1085
_cell_length_c 22.2631
_cell_angle_alpha 90.00
_cell_angle_beta 90.00
_cell_angle_gamma 120.00
_space_group_name_H-M_alt 'R -3 m'
_space_group_IT_number 166
_space_group_name_Hall '-R 3 2"'
loop_
_atom_site_label
_atom_site_fract_x
_atom_site_fract_y
_atom_site_fract_z
_atom_site_occupancy
K1 0.0000 0.0000 0.0000 1
K2 0.0000 0.5000 0.0000 1
Pa1 0.0000 0.5000 0.5000 1
Ag1 0.0000 0.0000 0.5000 1
S1 0.0000 0.0000 0.2344 1
S2 0.0138 0.5069 0.7650 1
```